1.
Material: KCa2Be
Method: DFT, GGA-PBE
State: optimized geometry

The structure in POSCAR format:
```
KCa2Be
1.0
4.004 0.000 0.000
0.000 4.004 0.000
0.000 0.000 9.428
K Ca Be
1 2 1
direct
0.000 0.000 0.000
0.000 0.000 0.376
0.500 0.500 0.634
0.500 0.500 0.278
```

Output
Magnetization in μB/atom: 0.000
Theoretical density in g/cm³: 1.4
Total energy in eV per atom: -1.79

***

2.
Material: KCa2Be
Method: DFT, GGA-PBE
State: optimized geometry

The structure in POSCAR format:
```
KCa2Be
1.0
-2.525 2.525 5.421
2.525 -2.525 5.421
2.525 2.525 -5.421
K Ca Be
1 2 1
direct
0.000 0.000 0.000
0.500 0.500 0.000
0.750 0.250 0.500
0.250 0.750 0.500
```

Output
Magnetization in μB/atom: 0.000
Theoretical density in g/cm³: 1.5
Total energy in eV per atom: -1.57

***

3.
Material: K2Ca2Be
Method: DFT, GGA-PBE
State: optimized geometry

The structure in POSCAR format:
```
K2Ca2Be
1.0
8.168 0.000 0.000
0.000 8.168 0.000
0.000 0.000 6.519
K Ca Be
4 4 2
direct
0.147 0.353 0.000
0.353 0.853 0.000
0.647 0.147 0.000
0.853 0.647 0.000
0.181 0.681 0.500
0.319 0.181 0.500
0.681 0.819 0.500
0.819 0.319 0.500
0.000 0.000 0.000
0.500 0.500 0.000
```

Output
Offset from the most stable computed form in eV/atom: 0.000
Magnetization in μB/atom: 0.000
Theoretical density in g/cm³: 1.3
Total energy in eV per atom: -1.26